1.
# CaCeZnN3

An optimized crystal structure of CaCeZnN3 (GGA-PBE, the Alexandria database).

For the total DFT energy (no corrections), the calculation gives -6.283 eV/atom. For the uncorrected formation energy, the calculation gives -339 kJ/mol of formula units.

It has space group P2_1/m (No. 11), with a = 7.127 Å, b = 3.484 Å, c = 7.469 Å, α = 90.00°, β = 90.09° and γ = 90.00°. The inequivalent atoms are Ca at (0.138, 0.250, 0.177), Ce at (0.377, 0.750, 0.826), Zn at (0.125, 0.250, 0.580), N at (0.157, 0.250, 0.849), N at (0.172, 0.750, 0.458) and N at (0.404, 0.750, 0.129).



2.
# CaRhF

An optimized crystal structure of CaRhF (GGA-PBE, the Alexandria database).

For the total DFT energy (no corrections), the calculation gives -5.601 eV/atom. As for the energy above the most stable polymorph in this dataset: 60 meV/atom. For the uncorrected formation energy, the calculation gives -538 kJ/mol of formula units.

It has space group P1 (No. 1), with a = 3.568 Å, b = 3.570 Å, c = 8.432 Å, α = 101.49°, β = 101.47° and γ = 93.17°. The inequivalent atoms are Ca at (0.000, 0.000, 0.000), Ca at (0.304, 0.303, 0.609), Rh at (0.150, 0.654, 0.305), Rh at (0.649, 0.154, 0.305), F at (0.392, 0.509, 0.900) and F at (0.798, 0.915, 0.710).



3.
# SrY2Sc

An optimized crystal structure of SrY2Sc (GGA-PBE, the Alexandria database).

The value obtained for the formation energy is 282 meV per atom. For the total DFT energy (no corrections), the calculation gives -4.953 eV/atom. As for the energy above the most stable polymorph in this dataset: 174 meV/atom.

It has space group Fm-3m (No. 225), with a = 8.128 Å, b = 8.128 Å, c = 8.128 Å, α = 90.00°, β = 90.00° and γ = 90.00°. The inequivalent atoms are Sr at (0.000, 0.000, 0.000), Y at (0.250, 0.250, 0.250) and Sc at (0.000, 0.000, 0.500).



> Among the records above, which one has the highest total DFT energy (no corrections)?

SrY2Sc